(1)
# Sm4InSnO, relaxed, DFT PBE-GGA
# **Total magnetization**: 0.0000 μB per atom
# **Total DFT energy (no corrections)**: -5.55 eV/atom
data_Sm4InSnO
_chemical_formula_sum 'Sm16 In4 Sn4 O4'
_symmetry_space_group_name_H-M 'C m c m'
_symmetry_Int_Tables_number 63
_symmetry_space_group_name_Hall '-C 2c 2'
_cell_length_a 6.649
_cell_length_b 17.246
_cell_length_c 6.638
_cell_angle_alpha 90.00
_cell_angle_beta 90.00
_cell_angle_gamma 90.00
loop_
_atom_site_label
_atom_site_type_symbol
_atom_site_fract_x
_atom_site_fract_y
_atom_site_fract_z
Sm1 Sm 0.000 0.069 0.250
Sm2 Sm 0.000 0.419 0.250
Sm3 Sm 0.250 0.250 0.000
In1 In 0.000 0.113 0.750
Sn1 Sn 0.000 0.390 0.750
O1 O 0.000 0.272 0.250

***

(2)
# La2TbSmS4, relaxed, DFT PBE-GGA
# **Total magnetization**: 0.0000 μB per atom
# **Total DFT energy (no corrections)**: -6.56 eV/atom
data_La2TbSmS4
_chemical_formula_sum 'La2 Tb1 Sm1 S4'
_symmetry_space_group_name_H-M 'P 1 2/m 1'
_symmetry_Int_Tables_number 10
_symmetry_space_group_name_Hall '-P 2y'
_cell_length_a 7.024
_cell_length_b 4.027
_cell_length_c 7.091
_cell_angle_alpha 90.00
_cell_angle_beta 109.11
_cell_angle_gamma 90.00
loop_
_atom_site_label
_atom_site_type_symbol
_atom_site_fract_x
_atom_site_fract_y
_atom_site_fract_z
La1 La 0.000 0.000 0.000
La2 La 0.500 0.500 0.000
Tb1 Tb 0.000 0.500 0.500
Sm1 Sm 0.500 0.000 0.500
S1 S 0.241 0.000 0.734
S2 S 0.251 0.500 0.263

***

(3)
# TaTlIn3, relaxed, DFT PBE-GGA
# **Energy of formation from the pure elements**: 0.524 eV per atom
# **Total magnetization**: 0.0000 μB per atom
# **Distance to the lowest polymorph of the same formula**: 0 meV per atom
data_TaTlIn3
_chemical_formula_sum 'Ta1 Tl1 In3'
_symmetry_space_group_name_H-M 'P m -3 m'
_symmetry_Int_Tables_number 221
_symmetry_space_group_name_Hall '-P 4 2 3'
_cell_length_a 5.472
_cell_length_b 5.472
_cell_length_c 5.472
_cell_angle_alpha 90.00
_cell_angle_beta 90.00
_cell_angle_gamma 90.00
loop_
_atom_site_label
_atom_site_type_symbol
_atom_site_fract_x
_atom_site_fract_y
_atom_site_fract_z
Ta1 Ta 0.000 0.000 0.000
Tl1 Tl 0.500 0.500 0.500
In1 In 0.000 0.000 0.500

***

| no. | DOS at the Fermi energy (states/eV per cell) | volume (Å³/cell) |
| --- | --- | --- |
| 1 | 21.9 | 761 |
| 2 | 5.0 | 190 |
| 3 | 4.3 | 164 |